12
Lattice="5.322 0.000 0.000 0.000 10.431 0.000 0.000 0.000 6.956" Properties=species:S:1:pos:R:3 comment="Pr3NdTl2 | Alexandria | PBE | relaxed" energy_ev_per_cell=-51.0 e_form_mev_per_atom=-273 dos_ef_per_ev_atom=1.231 magnetic_moment_mub_per_fu=0.000 sg=Pmc2_1 pbc="T T T"
Pr 0.000 0.458 0.000
Pr 0.000 3.309 2.562
Pr 0.000 7.122 6.040
Pr 0.000 9.973 3.478
Pr 2.661 1.924 5.102
Pr 2.661 8.507 1.624
Nd 2.661 4.757 0.696
Nd 2.661 5.674 4.173
Tl 0.000 3.806 5.868
Tl 0.000 6.625 2.390
Tl 2.661 1.424 1.800
Tl 2.661 9.007 5.278